Entry 1:
First-principles (PBE) data for a relaxed structure of Pr12Mg6Tl, as listed in Alexandria.

Geometry as POSCAR:
```
Pr12Mg6Tl
1.0
-2.958 0.690 -7.882
-8.002 -0.491 2.662
-0.589 8.401 0.659
Pr Mg Tl
12 6 1
direct
0.805 0.522 0.447
0.447 0.805 0.522
0.522 0.447 0.805
0.195 0.478 0.553
0.553 0.195 0.478
0.478 0.553 0.195
0.032 0.155 0.378
0.845 0.622 0.968
0.622 0.968 0.845
0.968 0.845 0.622
0.155 0.378 0.032
0.378 0.032 0.155
0.746 0.894 0.257
0.743 0.254 0.106
0.106 0.743 0.254
0.254 0.106 0.743
0.257 0.746 0.894
0.894 0.257 0.746
0.000 0.000 0.000
```

## Properties
Calculated formation energy ... -0.009 eV per atom

---

Entry 2:
First-principles (PBE) data for a relaxed structure of Pr2MgTl4, as listed in Alexandria.

Geometry as POSCAR:
```
Pr2MgTl4
1.0
5.507 0.000 -1.664
-0.501 5.486 -1.659
-0.657 -0.713 7.770
Pr Mg Tl
2 1 4
direct
0.640 0.640 0.279
0.360 0.360 0.721
0.000 0.000 0.000
0.750 0.250 0.500
0.250 0.750 0.500
0.500 0.000 0.000
0.000 0.500 0.000
```

## Properties
Calculated formation energy ... -0.071 eV per atom

---

Entry 3:
First-principles (PBE) data for a relaxed structure of Pr7MgTl4, as listed in Alexandria.

Geometry as POSCAR:
```
Pr7MgTl4
1.0
6.050 0.000 0.000
3.025 8.795 1.225
3.025 1.255 7.494
Pr Mg Tl
7 1 4
direct
0.807 0.882 0.505
0.193 0.118 0.495
0.070 0.598 0.261
0.930 0.402 0.739
0.253 0.706 0.788
0.500 0.000 0.000
0.747 0.294 0.212
0.000 0.000 0.000
0.539 0.304 0.619
0.461 0.696 0.381
0.686 0.662 0.965
0.314 0.338 0.035
```

## Properties
Calculated formation energy ... -0.115 eV per atom

---

Entry 4:
First-principles (PBE) data for a relaxed structure of Pr2Mg5Tl4, as listed in Alexandria.

Geometry as POSCAR:
```
Pr2Mg5Tl4
1.0
-1.055 5.078 3.645
0.889 -0.036 5.820
8.709 5.457 0.431
Pr Mg Tl
2 5 4
direct
0.897 0.000 0.205
0.103 0.000 0.795
0.500 0.000 0.000
0.000 0.500 0.000
0.500 0.500 0.000
0.250 0.500 0.500
0.750 0.500 0.500
0.474 0.317 0.736
0.526 0.683 0.264
0.210 0.317 0.264
0.790 0.683 0.736
```

## Properties
Calculated formation energy ... -0.081 eV per atom

---

Entry 5:
First-principles (PBE) data for a relaxed structure of Pr4MgTl5, as listed in Alexandria.

Geometry as POSCAR:
```
Pr4MgTl5
1.0
-2.619 -2.091 -1.620
2.608 -1.659 -2.075
2.485 -14.545 14.755
Pr Mg Tl
4 1 5
direct
0.000 0.000 0.187
0.000 0.000 0.396
0.000 0.000 0.604
0.000 0.000 0.813
0.000 0.000 0.000
0.500 0.500 0.083
0.500 0.500 0.290
0.500 0.500 0.500
0.500 0.500 0.710
0.500 0.500 0.917
```

## Properties
Calculated formation energy ... -0.337 eV per atom

---

Entry 6:
First-principles (PBE) data for a relaxed structure of Pr4Mg2Tl, as listed in Alexandria.

Geometry as POSCAR:
```
Pr4Mg2Tl
1.0
1.456 5.976 -2.701
0.130 -4.700 -4.798
-6.113 0.244 2.775
Pr Mg Tl
4 2 1
direct
0.500 0.000 0.000
0.500 0.500 0.500
0.000 0.000 0.500
0.000 0.500 0.000
0.500 0.500 0.000
0.500 0.000 0.500
0.000 0.000 0.000
```

## Properties
Calculated formation energy ... -0.049 eV per atom

---

Per-record DOS(E_F), states/eV/atom: 1.33 0.62 1.21 0.61 0.72 1.18